Arrangement one

Compound: Sr2Li7Cd
Source: Alexandria via LeMat-Bulk
Functional: PBE
Structure: optimized geometry

Unit cell a=7.386 b=7.386 c=7.386 alpha=60.00 beta=60.00 gamma=60.00
Atoms (fractional coordinates):
1 Sr 0.250 0.250 0.250
2 Sr 0.750 0.750 0.750
3 Li 0.500 0.500 0.500
4 Li 0.253 0.747 0.747
5 Li 0.253 0.747 0.253
6 Li 0.747 0.253 0.747
7 Li 0.747 0.747 0.253
8 Li 0.253 0.253 0.747
9 Li 0.747 0.253 0.253
10 Cd 0.000 0.000 0.000

- Fermi-level density of states (states/eV per atom) = 0.818
- total moment (μB/f.u.) = 0.00

---

Arrangement two

Compound: Sr2Li7Cd
Source: Alexandria via LeMat-Bulk
Functional: PBE
Structure: optimized geometry

Unit cell a=4.947 b=4.947 c=11.156 alpha=90.00 beta=90.00 gamma=90.00
Atoms (fractional coordinates):
1 Sr 0.500 0.000 0.762
2 Sr 0.000 0.500 0.238
3 Li 0.000 0.500 0.886
4 Li 0.500 0.000 0.366
5 Li 0.500 0.000 0.114
6 Li 0.000 0.500 0.634
7 Li 0.000 0.000 0.500
8 Li 0.000 0.000 0.000
9 Li 0.500 0.500 0.500
10 Cd 0.500 0.500 0.000

- Fermi-level density of states (states/eV per atom) = 0.634
- total moment (μB/f.u.) = 0.00

---

Stability order, top to bottom: arrangement two, arrangement one

---

Arrangement one

Compound: SrLi4Cd
Source: Alexandria via LeMat-Bulk
Functional: PBE
Structure: optimized geometry

Unit cell a=4.504 b=8.111 c=8.627 alpha=90.00 beta=90.00 gamma=90.00
Atoms (fractional coordinates):
1 Sr 0.000 0.618 0.750
2 Sr 0.000 0.382 0.250
3 Li 0.000 0.000 0.500
4 Li 0.000 0.000 0.000
5 Li 0.500 0.976 0.750
6 Li 0.500 0.024 0.250
7 Li 0.500 0.710 0.063
8 Li 0.500 0.290 0.937
9 Li 0.500 0.710 0.437
10 Li 0.500 0.290 0.563
11 Cd 0.000 0.209 0.750
12 Cd 0.000 0.791 0.250

- Fermi-level density of states (states/eV per atom) = 0.526
- total moment (μB/f.u.) = 0.00

---

Arrangement two

Compound: SrLi4Cd
Source: Alexandria via LeMat-Bulk
Functional: PBE
Structure: optimized geometry

Unit cell a=5.109 b=5.109 c=7.673 alpha=89.98 beta=90.11 gamma=90.00
Atoms (fractional coordinates):
1 Sr 0.500 0.000 0.000
2 Li 0.000 0.500 0.170
3 Li 0.000 0.500 0.830
4 Li 0.000 0.000 0.500
5 Li 0.500 0.500 0.500
6 Cd 0.000 0.500 0.500

- Fermi-level density of states (states/eV per atom) = 0.661
- total moment (μB/f.u.) = 0.00

---

Stability order, top to bottom: arrangement one, arrangement two

---

Arrangement one

Compound: Sr2Li2Cd
Source: Alexandria via LeMat-Bulk
Functional: PBE
Structure: optimized geometry

Unit cell a=8.033 b=8.033 c=5.045 alpha=90.00 beta=90.00 gamma=90.00
Atoms (fractional coordinates):
1 Sr 0.184 0.684 0.500
2 Sr 0.684 0.816 0.500
3 Sr 0.816 0.316 0.500
4 Sr 0.316 0.184 0.500
5 Li 0.373 0.873 0.000
6 Li 0.873 0.627 0.000
7 Li 0.627 0.127 0.000
8 Li 0.127 0.373 0.000
9 Cd 0.000 0.000 0.000
10 Cd 0.500 0.500 0.000

- Fermi-level density of states (states/eV per atom) = 0.922
- total moment (μB/f.u.) = 0.00

---

Arrangement two

Compound: Sr2Li2Cd
Source: Alexandria via LeMat-Bulk
Functional: PBE
Structure: optimized geometry

Unit cell a=4.040 b=4.040 c=10.549 alpha=78.96 beta=78.96 gamma=90.00
Atoms (fractional coordinates):
1 Sr 0.400 0.400 0.200
2 Sr 0.600 0.600 0.800
3 Li 0.750 0.250 0.500
4 Li 0.250 0.750 0.500
5 Cd 0.000 0.000 0.000

- Fermi-level density of states (states/eV per atom) = 0.645
- total moment (μB/f.u.) = 0.00

---

Arrangement three

Compound: Sr2Li2Cd
Source: Alexandria via LeMat-Bulk
Functional: PBE
Structure: optimized geometry

Unit cell a=7.401 b=6.769 c=8.180 alpha=105.16 beta=90.00 gamma=123.14
Atoms (fractional coordinates):
1 Sr 0.583 0.340 0.154
2 Sr 0.243 0.660 0.346
3 Sr 0.417 0.660 0.846
4 Sr 0.757 0.340 0.654
5 Li 0.802 0.835 0.547
6 Li 0.967 0.165 0.953
7 Li 0.198 0.165 0.453
8 Li 0.033 0.835 0.047
9 Cd 0.787 0.000 0.250
10 Cd 0.213 0.000 0.750

- Fermi-level density of states (states/eV per atom) = 0.787
- total moment (μB/f.u.) = 0.00

---

Arrangement four

Compound: Sr2Li2Cd
Source: Alexandria via LeMat-Bulk
Functional: PBE
Structure: optimized geometry

Unit cell a=6.330 b=6.330 c=6.074 alpha=58.59 beta=58.59 gamma=90.00
Atoms (fractional coordinates):
1 Sr 0.750 0.250 0.500
2 Sr 0.250 0.750 0.500
3 Li 0.348 0.348 0.303
4 Li 0.652 0.652 0.697
5 Cd 0.000 0.000 0.000

- Fermi-level density of states (states/eV per atom) = 0.671
- total moment (μB/f.u.) = 0.00

---

Stability order, top to bottom: arrangement three, arrangement two, arrangement one, arrangement four

---

Arrangement one

Compound: Sr2Li2Cd
Source: Alexandria via LeMat-Bulk
Functional: PBE
Structure: optimized geometry

Unit cell a=6.041 b=5.093 c=6.528 alpha=67.04 beta=62.44 gamma=90.00
Atoms (fractional coordinates):
1 Sr 0.696 0.196 0.609
2 Sr 0.304 0.804 0.391
3 Li 0.244 0.500 0.000
4 Li 0.756 0.500 0.000
5 Cd 0.000 0.000 0.000

- Fermi-level density of states (states/eV per atom) = 0.792
- total moment (μB/f.u.) = 0.00

---

Arrangement two

Compound: Sr2Li2Cd
Source: Alexandria via LeMat-Bulk
Functional: PBE
Structure: optimized geometry

Unit cell a=9.272 b=9.272 c=4.358 alpha=90.00 beta=90.00 gamma=90.00
Atoms (fractional coordinates):
1 Sr 0.333 0.833 0.000
2 Sr 0.833 0.667 0.000
3 Sr 0.667 0.167 0.000
4 Sr 0.167 0.333 0.000
5 Li 0.124 0.624 0.500
6 Li 0.624 0.876 0.500
7 Li 0.876 0.376 0.500
8 Li 0.376 0.124 0.500
9 Cd 0.000 0.000 0.000
10 Cd 0.500 0.500 0.000

- Fermi-level density of states (states/eV per atom) = 0.587
- total moment (μB/f.u.) = 0.00

---

Stability order, top to bottom: arrangement one, arrangement two

---

Arrangement one

Compound: Sr4LiCd
Source: Alexandria via LeMat-Bulk
Functional: PBE
Structure: optimized geometry

Unit cell a=7.536 b=7.536 c=7.536 alpha=60.00 beta=60.00 gamma=60.00
Atoms (fractional coordinates):
1 Sr 0.875 0.375 0.375
2 Sr 0.375 0.375 0.875
3 Sr 0.375 0.875 0.375
4 Sr 0.375 0.375 0.375
5 Li 0.000 0.000 0.000
6 Cd 0.750 0.750 0.750

- Fermi-level density of states (states/eV per atom) = 1.416
- total moment (μB/f.u.) = 0.00

---

Arrangement two

Compound: Sr4LiCd
Source: Alexandria via LeMat-Bulk
Functional: PBE
Structure: optimized geometry

Unit cell a=5.817 b=5.822 c=8.213 alpha=89.93 beta=89.95 gamma=90.00
Atoms (fractional coordinates):
1 Sr 0.501 0.997 0.240
2 Sr 0.501 0.998 0.756
3 Sr 0.002 0.498 0.756
4 Sr 0.001 0.497 0.240
5 Li 0.001 0.997 0.498
6 Cd 0.501 0.497 0.998

- Fermi-level density of states (states/eV per atom) = 1.138
- total moment (μB/f.u.) = 0.00

---

Arrangement three

Compound: Sr4LiCd
Source: Alexandria via LeMat-Bulk
Functional: PBE
Structure: optimized geometry

Unit cell a=4.178 b=4.178 c=14.346 alpha=90.00 beta=90.00 gamma=90.00
Atoms (fractional coordinates):
1 Sr 0.500 0.500 0.854
2 Sr 0.500 0.500 0.146
3 Sr 0.000 0.000 0.636
4 Sr 0.000 0.000 0.364
5 Li 0.000 0.000 0.000
6 Cd 0.500 0.500 0.500

- Fermi-level density of states (states/eV per atom) = 0.969
- total moment (μB/f.u.) = 0.00

---

Stability order, top to bottom: arrangement three, arrangement two, arrangement one

---

Arrangement one

Compound: Sr4LiCd3
Source: Alexandria via LeMat-Bulk
Functional: PBE
Structure: optimized geometry

Unit cell a=4.477 b=5.103 c=12.661 alpha=90.00 beta=90.00 gamma=90.00
Atoms (fractional coordinates):
1 Sr 0.500 0.500 0.360
2 Sr 0.000 0.500 0.851
3 Sr 0.000 0.000 0.147
4 Sr 0.500 0.000 0.645
5 Li 0.500 0.500 0.060
6 Cd 0.000 0.500 0.572
7 Cd 0.000 0.000 0.429
8 Cd 0.500 0.000 0.935

- Fermi-level density of states (states/eV per atom) = 0.798
- total moment (μB/f.u.) = 0.00

---

Arrangement two

Compound: Sr4LiCd3
Source: Alexandria via LeMat-Bulk
Functional: PBE
Structure: optimized geometry

Unit cell a=4.093 b=5.767 c=11.555 alpha=90.00 beta=90.00 gamma=90.00
Atoms (fractional coordinates):
1 Sr 0.000 0.000 0.500
2 Sr 0.000 0.500 0.743
3 Sr 0.000 0.000 0.000
4 Sr 0.000 0.500 0.257
5 Cd 0.500 0.000 0.246
6 Cd 0.500 0.500 0.500
7 Cd 0.500 0.000 0.754
8 Li 0.500 0.500 0.000

- Fermi-level density of states (states/eV per atom) = 0.828
- total moment (μB/f.u.) = 0.00

---

Stability order, top to bottom: arrangement two, arrangement one